No. 1
Below is a relaxed Cd4Rh crystal, with properties calculated at the PBE level.

Calculated values
Total energy in eV/atom: -2.271
V in Å³/atom: 19.28
Magnetic moment in μB per atom: 0.00
Theoretical density in g cm⁻³: 9.5
DFT formation energy in eV/atom: -0.0684
D(E_F) in states/eV per atom: 0.39

a b c (Å): 4.068 5.276 5.276
angles (deg): 81.45 112.67 112.67
Element x y z (fractional)
Cd 0.600 0.811 0.390
Cd 0.400 0.189 0.610
Cd 0.211 0.610 0.811
Cd 0.789 0.390 0.189
Rh 0.000 0.000 0.000



No. 2
Below is a relaxed Cd4Rh crystal, with properties calculated at the PBE level.

Calculated values
Total energy in eV/atom: -2.020
V in Å³/atom: 23.44
Magnetic moment in μB per atom: 0.00
Theoretical density in g cm⁻³: 7.8
DFT formation energy in eV/atom: 0.1820
D(E_F) in states/eV per atom: 0.44

a b c (Å): 5.423 5.423 5.423
angles (deg): 103.00 103.00 123.38
Element x y z (fractional)
Cd 0.292 0.292 0.583
Cd 0.708 0.292 0.000
Cd 0.708 0.708 0.417
Cd 0.292 0.708 0.000
Rh 0.000 0.000 0.000



No. 3
Below is a relaxed Cd8Rh3 crystal, with properties calculated at the PBE level.

Calculated values
Total energy in eV/atom: -2.760
V in Å³/atom: 19.02
Magnetic moment in μB per atom: 0.00
Theoretical density in g cm⁻³: 9.6
DFT formation energy in eV/atom: -0.0899
D(E_F) in states/eV per atom: 0.37

a b c (Å): 3.151 6.091 12.215
angles (deg): 111.74 90.00 104.99
Element x y z (fractional)
Cd 0.712 0.425 0.096
Cd 0.288 0.575 0.904
Cd 0.547 0.093 0.830
Cd 0.453 0.907 0.170
Cd 0.812 0.624 0.704
Cd 0.188 0.376 0.296
Cd 0.608 0.216 0.469
Cd 0.392 0.784 0.531
Rh 0.000 0.000 0.000
Rh 0.900 0.800 0.336
Rh 0.100 0.200 0.664



Question: Which of these has the lowest V?
Answer: Cd8Rh3



Question: Which value of magnetic moment does entry 3 give?
Answer: 0.00 μB per atom



Question: What is the V in the second record?
Answer: 23.44 Å³/atom